1.
Density functional theory data (SCAN) for KBe2As at its PBEsol-relaxed geometry.

a = 7.7778 Å, b = 3.7580 Å, c = 5.8902 Å
α = 90.00°, β = 102.32°, γ = 90.00°
Space group C2/m (No. 12)
Inequivalent atoms, fractional coordinates:
K1 0.0000 0.0000 0.0000 (multiplicity 2)
Be1 0.1958 0.0000 0.5309 (multiplicity 4)
As1 0.0000 0.5000 0.5000 (multiplicity 2)

Values from the calculation:
Total energy (eV for the cell shown): -72.33


2.
Density functional theory data (SCAN) for KBeAs2 at its PBEsol-relaxed geometry.

a = 3.4937 Å, b = 5.6059 Å, c = 9.4420 Å
α = 90.00°, β = 90.00°, γ = 90.00°
Space group Imm2 (No. 44)
Inequivalent atoms, fractional coordinates:
K1 0.0000 0.0000 0.0000 (multiplicity 2)
Be1 0.0000 0.5000 0.1688 (multiplicity 2)
As1 0.0000 0.0000 0.5192 (multiplicity 2)
As2 0.0000 0.5000 0.8176 (multiplicity 2)

Values from the calculation:
Total energy (eV for the cell shown): -103.45


3.
Density functional theory data (SCAN) for K2BeAs at its PBEsol-relaxed geometry.

a = 5.2049 Å, b = 5.2049 Å, c = 7.3493 Å
α = 90.00°, β = 90.00°, γ = 90.00°
Space group I-4m2 (No. 119)
Inequivalent atoms, fractional coordinates:
K1 0.0000 0.0000 0.0000 (multiplicity 2)
K2 0.0000 0.5000 0.2500 (multiplicity 2)
Be1 0.0000 0.5000 0.7500 (multiplicity 2)
As1 0.0000 0.0000 0.5000 (multiplicity 2)

Values from the calculation:
Total energy (eV for the cell shown): -79.70
Distance to the lowest polymorph of the same formula (meV per atom): 0


4.
Density functional theory data (SCAN) for K2BeAs at its PBEsol-relaxed geometry.

a = 3.2896 Å, b = 5.0049 Å, c = 6.1358 Å
α = 90.00°, β = 90.00°, γ = 90.00°
Space group Pmmm (No. 47)
Inequivalent atoms, fractional coordinates:
K1 0.0000 0.0000 0.2407 (multiplicity 2)
Be1 0.5000 0.5000 0.5000 (multiplicity 1)
As1 0.5000 0.5000 0.0000 (multiplicity 1)

Values from the calculation:
Total energy (eV for the cell shown): -39.33
Distance to the lowest polymorph of the same formula (meV per atom): 131